Entry 1:
Entry from Alexandria via LeMat-Bulk: a geometry-optimized Zr4Te3 structure (PBE).

Calculated values
DOS at the Fermi energy = 4.63 states/eV per cell
magnetization = 0.00 μB/cell
formation energy (no corrections) = -0.67 eV/atom

Cell: 12.1287 12.1287 12.1287 Å, 162.06 162.06 25.48°
Closest atoms and distances in Å follow each position.
Element x y z (fractional)
1 Zr 0.8608 0.8608 0.0000  5 Te 2.97-3.29, 4 Zr 3.21
2 Zr 0.1392 0.1392 0.0000  5 Te 2.97-3.29, 4 Zr 3.21
3 Zr 0.5642 0.5642 0.0000  5 Zr 3.04-3.21, 5 Te 3.06-3.08
4 Zr 0.4358 0.4358 0.0000  5 Zr 3.04-3.21, 5 Te 3.06-3.08
5 Te 0.0000 0.0000 0.0000  10 Zr 3.08-3.29
6 Te 0.6937 0.6937 0.0000  5 Zr 2.97-3.06
7 Te 0.3063 0.3063 0.0000  5 Zr 2.97-3.06



Entry 2:
Entry from Alexandria via LeMat-Bulk: a geometry-optimized Zr5Te6 structure (PBE).

Calculated values
DOS at the Fermi energy = 19.02 states/eV per cell
distance to the lowest polymorph of the same formula = 0.000 eV/atom
magnetization = 0.00 μB/cell
formation energy (no corrections) = -0.89 eV/atom

Cell: 11.8013 11.8015 7.1657 Å, 90.00 90.00 120.00°
Closest atoms and distances in Å follow each position.
Element x y z (fractional)
1 Te 0.1065 0.8935 0.2896  5 Zr 2.85-3.03
2 Te 0.1065 0.2130 0.2896  5 Zr 2.85-3.03
3 Te 0.7870 0.8935 0.2896  5 Zr 2.85-3.03
4 Te 0.2130 0.1065 0.7104  5 Zr 2.85-3.03
5 Te 0.8935 0.7870 0.7104  5 Zr 2.85-3.03
6 Te 0.8935 0.1065 0.7104  5 Zr 2.85-3.03
7 Te 0.1177 0.5588 0.2085  5 Zr 2.90-3.06
8 Te 0.4412 0.5588 0.2085  5 Zr 2.90-3.06
9 Te 0.4412 0.8823 0.2085  5 Zr 2.90-3.06
10 Te 0.5588 0.4412 0.7915  5 Zr 2.90-3.06
11 Te 0.8823 0.4412 0.7915  5 Zr 2.90-3.06
12 Te 0.5588 0.1177 0.7915  5 Zr 2.90-3.06
13 Te 0.2245 0.7755 0.7553  5 Zr 2.92-2.95
14 Te 0.2245 0.4490 0.7553  5 Zr 2.92-2.95
15 Te 0.5510 0.7755 0.7553  5 Zr 2.92-2.95
16 Te 0.4490 0.2245 0.2447  5 Zr 2.92-2.95
17 Te 0.7755 0.5510 0.2447  5 Zr 2.92-2.95
18 Te 0.7755 0.2245 0.2447  5 Zr 2.92-2.95
19 Zr 0.0000 0.0000 0.0000  6 Te 3.01
20 Zr 0.3333 0.6667 0.4884  6 Te 2.93-2.98
21 Zr 0.6667 0.3333 0.5116  6 Te 2.93-2.98
22 Zr 0.0000 0.7023 0.0000  6 Te 2.85-3.06
23 Zr 0.2978 0.2977 0.0000  6 Te 2.85-3.06
24 Zr 0.7022 0.0000 0.0000  6 Te 2.85-3.06
25 Zr 0.0000 0.2977 0.0000  6 Te 2.85-3.06
26 Zr 0.7022 0.7023 0.0000  6 Te 2.85-3.06
27 Zr 0.2978 0.0000 0.0000  6 Te 2.85-3.06
28 Zr 0.3628 0.0000 0.5000  6 Te 2.90-3.03, 1 Zr 3.24
29 Zr 0.0000 0.3628 0.5000  6 Te 2.90-3.03, 1 Zr 3.24
30 Zr 0.6372 0.6372 0.5000  6 Te 2.90-3.03, 1 Zr 3.24
31 Zr 0.6372 0.0000 0.5000  6 Te 2.90-3.03, 1 Zr 3.24
32 Zr 0.0000 0.6372 0.5000  6 Te 2.90-3.03, 1 Zr 3.24
33 Zr 0.3628 0.3628 0.5000  6 Te 2.90-3.03, 1 Zr 3.24



Entry 3:
Entry from Alexandria via LeMat-Bulk: a geometry-optimized ZrTe3 structure (PBE).

Calculated values
DOS at the Fermi energy = 1.73 states/eV per cell
magnetization = 0.00 μB/cell
formation energy (no corrections) = -0.51 eV/atom

Cell: 4.0838 5.9910 6.7844 Å, 51.84 90.00 90.00°
Closest atoms and distances in Å follow each position.
Element x y z (fractional)
1 Te 0.0000 0.0532 0.0731  1 Te 2.86, 2 Zr 2.96
2 Te 0.5000 0.7500 0.7500  2 Zr 2.81
3 Te 0.0000 0.4468 0.4269  1 Te 2.86, 2 Zr 2.96
4 Zr 0.5000 0.2500 0.2500  6 Te 2.81-2.96



Entry 4:
Entry from Alexandria via LeMat-Bulk: a geometry-optimized ZrTe3 structure (PBE).

Calculated values
DOS at the Fermi energy = 0.81 states/eV per cell
magnetization = 0.00 μB/cell
formation energy (no corrections) = -0.42 eV/atom

Cell: 4.2559 4.2651 7.5536 Å, 90.00 90.00 90.00°
Closest atoms and distances in Å follow each position.
Element x y z (fractional)
1 Te 0.0000 0.0000 0.9867  2 Zr 3.00, 4 Te 3.01
2 Te 0.5000 0.0000 0.4286  4 Zr 3.26
3 Te 0.5000 0.5000 0.9863  2 Zr 2.99, 4 Te 3.01
4 Zr 0.0000 0.5000 0.2652  8 Te 2.99-3.26



Please write out number 2 again, unchanged.
Entry from Alexandria via LeMat-Bulk: a geometry-optimized Zr5Te6 structure (PBE).

Calculated values
DOS at the Fermi energy = 19.02 states/eV per cell
distance to the lowest polymorph of the same formula = 0.000 eV/atom
magnetization = 0.00 μB/cell
formation energy (no corrections) = -0.89 eV/atom

Cell: 11.8013 11.8015 7.1657 Å, 90.00 90.00 120.00°
Closest atoms and distances in Å follow each position.
Element x y z (fractional)
1 Te 0.1065 0.8935 0.2896  5 Zr 2.85-3.03
2 Te 0.1065 0.2130 0.2896  5 Zr 2.85-3.03
3 Te 0.7870 0.8935 0.2896  5 Zr 2.85-3.03
4 Te 0.2130 0.1065 0.7104  5 Zr 2.85-3.03
5 Te 0.8935 0.7870 0.7104  5 Zr 2.85-3.03
6 Te 0.8935 0.1065 0.7104  5 Zr 2.85-3.03
7 Te 0.1177 0.5588 0.2085  5 Zr 2.90-3.06
8 Te 0.4412 0.5588 0.2085  5 Zr 2.90-3.06
9 Te 0.4412 0.8823 0.2085  5 Zr 2.90-3.06
10 Te 0.5588 0.4412 0.7915  5 Zr 2.90-3.06
11 Te 0.8823 0.4412 0.7915  5 Zr 2.90-3.06
12 Te 0.5588 0.1177 0.7915  5 Zr 2.90-3.06
13 Te 0.2245 0.7755 0.7553  5 Zr 2.92-2.95
14 Te 0.2245 0.4490 0.7553  5 Zr 2.92-2.95
15 Te 0.5510 0.7755 0.7553  5 Zr 2.92-2.95
16 Te 0.4490 0.2245 0.2447  5 Zr 2.92-2.95
17 Te 0.7755 0.5510 0.2447  5 Zr 2.92-2.95
18 Te 0.7755 0.2245 0.2447  5 Zr 2.92-2.95
19 Zr 0.0000 0.0000 0.0000  6 Te 3.01
20 Zr 0.3333 0.6667 0.4884  6 Te 2.93-2.98
21 Zr 0.6667 0.3333 0.5116  6 Te 2.93-2.98
22 Zr 0.0000 0.7023 0.0000  6 Te 2.85-3.06
23 Zr 0.2978 0.2977 0.0000  6 Te 2.85-3.06
24 Zr 0.7022 0.0000 0.0000  6 Te 2.85-3.06
25 Zr 0.0000 0.2977 0.0000  6 Te 2.85-3.06
26 Zr 0.7022 0.7023 0.0000  6 Te 2.85-3.06
27 Zr 0.2978 0.0000 0.0000  6 Te 2.85-3.06
28 Zr 0.3628 0.0000 0.5000  6 Te 2.90-3.03, 1 Zr 3.24
29 Zr 0.0000 0.3628 0.5000  6 Te 2.90-3.03, 1 Zr 3.24
30 Zr 0.6372 0.6372 0.5000  6 Te 2.90-3.03, 1 Zr 3.24
31 Zr 0.6372 0.0000 0.5000  6 Te 2.90-3.03, 1 Zr 3.24
32 Zr 0.0000 0.6372 0.5000  6 Te 2.90-3.03, 1 Zr 3.24
33 Zr 0.3628 0.3628 0.5000  6 Te 2.90-3.03, 1 Zr 3.24



Q: DOS at the Fermi energy of number 3 (ZrTe3)?
A: 1.73 states/eV per cell